Compound: GdDy2Al
Source: Alexandria
Functional: PBE
Structure: relaxed

Lattice parameters (Å, degrees): 5.347 5.347 5.347 60.00 60.00 60.00
Fractional coordinates of all 4 atoms:
Gd: 0.000 0.000 0.000
Dy: 0.250 0.250 0.250
Dy: 0.750 0.750 0.750
Al: 0.500 0.500 0.500

The value obtained for the formation energy is -0.056 eV per atom. For the calculated total energy, the calculation gives -6.813 eV/atom. As for the total magnetization: 8.09 μB/cell.


Compound: Zr2ScCd
Source: Alexandria
Functional: PBE
Structure: relaxed

Lattice parameters (Å, degrees): 5.839 5.839 5.544 114.52 114.52 32.15
Fractional coordinates of all 4 atoms:
Zr: 0.000 0.000 0.000
Zr: 0.245 0.245 0.882
Sc: 0.482 0.482 0.486
Cd: 0.739 0.739 0.399

The value obtained for the formation energy is -0.068 eV per atom. For the calculated total energy, the calculation gives -6.154 eV/atom. As for the total magnetization: 0.00 μB/cell.


Compound: ZnCrNiPt
Source: Alexandria
Functional: PBE
Structure: relaxed

Lattice parameters (Å, degrees): 4.259 4.259 4.259 60.00 60.00 60.00
Fractional coordinates of all 4 atoms:
Zn: 0.000 0.000 0.000
Cr: 0.500 0.500 0.500
Ni: 0.750 0.750 0.750
Pt: 0.250 0.250 0.250

The value obtained for the formation energy is -0.162 eV per atom. For the calculated total energy, the calculation gives -5.842 eV/atom. As for the total magnetization: 3.61 μB/cell.


Compound: FeSbPd
Source: Alexandria
Functional: PBE
Structure: relaxed

Lattice parameters (Å, degrees): 3.527 4.729 6.745 98.72 90.02 111.74
Fractional coordinates of all 6 atoms:
Fe: 0.148 0.294 0.457
Fe: 0.852 0.706 0.543
Sb: 0.405 0.812 0.269
Sb: 0.595 0.188 0.731
Pd: 0.327 0.655 0.866
Pd: 0.673 0.345 0.134

For the calculated total energy, the calculation gives -6.062 eV/atom. As for the total magnetization: 4.61 μB/cell.


Compound: Tb2PmPr5Dy
Source: Alexandria
Functional: PBE
Structure: relaxed

Lattice parameters (Å, degrees): 10.705 10.705 10.788 90.00 90.00 149.05
Fractional coordinates of all 18 atoms:
Tb: 0.111 0.889 0.500
Tb: 0.116 0.884 0.077
Tb: 0.884 0.116 0.577
Tb: 0.889 0.111 0.000
Pm: 0.200 0.800 0.772
Pm: 0.800 0.200 0.272
Pr: 0.016 0.984 0.782
Pr: 0.280 0.720 0.073
Pr: 0.295 0.705 0.466
Pr: 0.389 0.611 0.787
Pr: 0.481 0.519 0.506
Pr: 0.519 0.481 0.006
Pr: 0.611 0.389 0.287
Pr: 0.705 0.295 0.966
Pr: 0.720 0.280 0.573
Pr: 0.984 0.016 0.282
Dy: 0.409 0.591 0.222
Dy: 0.591 0.409 0.722

The value obtained for the formation energy is 0.139 eV per atom. For the calculated total energy, the calculation gives -4.584 eV/atom. As for the total magnetization: 0.00 μB/cell.


Compound: Pa3Te12Au5
Source: Alexandria
Functional: PBE
Structure: relaxed

Lattice parameters (Å, degrees): 14.808 14.808 14.808 109.47 109.47 109.47
Fractional coordinates of all 80 atoms:
Pa: 0.125 0.250 0.375
Pa: 0.125 0.375 0.750
Pa: 0.250 0.375 0.125
Pa: 0.250 0.875 0.625
Pa: 0.375 0.125 0.250
Pa: 0.375 0.750 0.125
Pa: 0.625 0.250 0.875
Pa: 0.625 0.875 0.750
Pa: 0.750 0.125 0.375
Pa: 0.750 0.625 0.875
Pa: 0.875 0.625 0.250
Pa: 0.875 0.750 0.625
Te: 0.048 0.220 0.133
Te: 0.048 0.328 0.916
Te: 0.084 0.633 0.412
Te: 0.084 0.952 0.672
Te: 0.088 0.720 0.672
Te: 0.088 0.867 0.416
Te: 0.133 0.048 0.220
Te: 0.133 0.584 0.912
Te: 0.172 0.220 0.588
Te: 0.172 0.452 0.584
Te: 0.220 0.133 0.048
Te: 0.220 0.588 0.172
Te: 0.280 0.328 0.912
Te: 0.280 0.452 0.367
Te: 0.328 0.912 0.280
Te: 0.328 0.916 0.048
Te: 0.367 0.280 0.452
Te: 0.367 0.588 0.916
Te: 0.412 0.084 0.633
Te: 0.412 0.828 0.780
Te: 0.416 0.088 0.867
Te: 0.416 0.828 0.548
Te: 0.452 0.367 0.280
Te: 0.452 0.584 0.172
Te: 0.548 0.416 0.828
Te: 0.548 0.633 0.720
Te: 0.584 0.172 0.452
Te: 0.584 0.912 0.133
Te: 0.588 0.172 0.220
Te: 0.588 0.916 0.367
Te: 0.633 0.412 0.084
Te: 0.633 0.720 0.548
Te: 0.672 0.084 0.952
Te: 0.672 0.088 0.720
Te: 0.720 0.548 0.633
Te: 0.720 0.672 0.088
Te: 0.780 0.412 0.828
Te: 0.780 0.867 0.952
Te: 0.828 0.548 0.416
Te: 0.828 0.780 0.412
Te: 0.867 0.416 0.088
Te: 0.867 0.952 0.780
Te: 0.912 0.133 0.584
Te: 0.912 0.280 0.328
Te: 0.916 0.048 0.328
Te: 0.916 0.367 0.588
Te: 0.952 0.672 0.084
Te: 0.952 0.780 0.867
Au: 0.000 0.000 0.000
Au: 0.000 0.000 0.500
Au: 0.000 0.500 0.000
Au: 0.000 0.500 0.500
Au: 0.125 0.750 0.875
Au: 0.125 0.875 0.250
Au: 0.250 0.125 0.875
Au: 0.250 0.625 0.375
Au: 0.375 0.250 0.625
Au: 0.375 0.625 0.750
Au: 0.500 0.000 0.000
Au: 0.500 0.000 0.500
Au: 0.500 0.500 0.000
Au: 0.500 0.500 0.500
Au: 0.625 0.375 0.250
Au: 0.625 0.750 0.375
Au: 0.750 0.375 0.625
Au: 0.750 0.875 0.125
Au: 0.875 0.125 0.750
Au: 0.875 0.250 0.125

For the calculated total energy, the calculation gives -4.488 eV/atom. As for the total magnetization: 0.00 μB/cell.